LiCdRu2 after structural relaxation. Source: Alexandria via LeMat-Bulk, functional PBE.

Structure (CIF):
```
data_LiCdRu2
_chemical_formula_sum 'Li1 Cd1 Ru2'
_cell_length_a 3.675
_cell_length_b 3.675
_cell_length_c 4.481
_cell_angle_alpha 90.00
_cell_angle_beta 90.00
_cell_angle_gamma 90.00
_symmetry_space_group_name_H-M 'P 4/m m m'
_symmetry_Int_Tables_number 123
_symmetry_space_group_name_Hall '-P 4 2'
loop_
_atom_site_label
_atom_site_type_symbol
_atom_site_fract_x
_atom_site_fract_y
_atom_site_fract_z
Li1 Li 0.000 0.000 0.000
Cd1 Cd 0.500 0.500 0.000
Ru1 Ru 0.000 0.500 0.500
```

Summary:
E_form	0.308	eV per atom
D(E_F)	1.204	states/eV/atom